First-principles (GGA-PBEsol) data for a relaxed SnHIO2 crystal, as listed in Alexandria.

Unit cell a=3.8653 b=3.8653 c=6.3183 alpha=90.00 beta=90.00 gamma=90.00
Last column: nearest neighbours and their distance in Å.
Space group P4/mmm (No. 123)
Unique sites:
Sn 0.0000 0.0000 0.0000 [1 per cell]  4 O 1.93
H 0.5000 0.5000 0.5000 [1 per cell]  4 I 2.73
I 0.0000 0.0000 0.5000 [1 per cell]  4 H 2.73
O 0.0000 0.5000 0.0000 [2 per cell]  2 Sn 1.93

## Properties
* E_tot: -0.3015 Ry/atom